# 1
Entry from Alexandria via LeMat-Bulk: crystalline La3CeIn4 at its relaxed geometry (GGA-PBE).

Cell lengths 3.935, 3.935, 15.742 Å; angles 90.00, 90.00, 90.00 degrees
Last column: magnetic moment on the atom in μB.
Positions (direct):
1 In 0.000 0.000 0.120  0.01
2 In 0.000 0.000 0.373  0.00
3 In 0.000 0.000 0.627  0.00
4 La 0.500 0.500 0.247  -0.01
5 La 0.500 0.500 0.500  0.00
6 In 0.000 0.000 0.880  0.01
7 Ce 0.500 0.500 0.000  0.84
8 La 0.500 0.500 0.753  -0.01

Space group: P4/mmm
Energy of formation from the pure elements in kJ/mol of atoms: -44.7
DFT total energy in eV for the cell shown: -35.38

***

# 2
Entry from Alexandria via LeMat-Bulk: crystalline La2CeIn6 at its relaxed geometry (GGA-PBE).

Cell lengths 3.740, 8.799, 8.799 Å; angles 120.00, 90.00, 90.00 degrees
Last column: magnetic moment on the atom in μB.
Positions (direct):
1 In 0.500 0.000 0.332  0.00
2 In 0.500 0.668 0.668  0.00
3 La 0.000 0.667 0.333  -0.02
4 In 0.500 0.332 0.332  0.00
5 Ce 0.000 0.000 0.000  0.83
6 La 0.000 0.333 0.667  -0.02
7 In 0.500 0.000 0.668  0.00
8 In 0.500 0.668 0.000  0.00
9 In 0.500 0.332 0.000  0.00

Space group: P6/mmm
Energy of formation from the pure elements in kJ/mol of atoms: -44.0
DFT total energy in eV for the cell shown: -36.32

***

# 3
Entry from Alexandria via LeMat-Bulk: crystalline LaCe2In6 at its relaxed geometry (GGA-PBE).

Cell lengths 4.882, 8.415, 8.415 Å; angles 55.25, 73.14, 73.14 degrees
Last column: magnetic moment on the atom in μB.
Positions (direct):
1 In 0.304 0.390 0.001  0.00
2 In 0.696 0.610 0.999  0.00
3 In 0.304 0.001 0.390  0.00
4 In 0.500 0.702 0.298  0.00
5 In 0.500 0.298 0.702  0.00
6 Ce 0.101 0.399 0.399  0.77
7 In 0.696 0.999 0.610  0.00
8 La 0.000 0.000 0.000  0.02
9 Ce 0.899 0.601 0.601  0.77

Space group: Immm
E above lowest polymorph in meV/atom: 139
Energy of formation from the pure elements in kJ/mol of atoms: -26.0
DFT total energy in eV for the cell shown: -35.65

***

# 4
Entry from Alexandria via LeMat-Bulk: crystalline La2CeIn at its relaxed geometry (GGA-PBE).

Cell lengths 5.619, 5.619, 5.619 Å; angles 60.00, 60.00, 60.00 degrees
Last column: magnetic moment on the atom in μB.
Positions (direct):
1 In 0.500 0.500 0.500  -0.01
2 La 0.250 0.250 0.250  0.04
3 La 0.750 0.750 0.750  0.04
4 Ce 0.000 0.000 0.000  0.62

Space group: Fm-3m
E above lowest polymorph in meV/atom: 135
Energy of formation from the pure elements in kJ/mol of atoms: -9.3
DFT total energy in eV for the cell shown: -18.91

***

# 5
Entry from Alexandria via LeMat-Bulk: crystalline La2CeIn at its relaxed geometry (GGA-PBE).

Cell lengths 5.951, 6.825, 6.825 Å; angles 63.54, 81.29, 81.29 degrees
Last column: magnetic moment on the atom in μB.
Positions (direct):
1 La 0.713 0.857 0.380  0.00
2 Ce 0.214 0.088 0.088  0.16
3 Ce 0.786 0.912 0.912  0.16
4 La 0.713 0.380 0.857  0.00
5 La 0.287 0.143 0.620  0.00
6 In 0.198 0.645 0.645  0.00
7 La 0.287 0.620 0.143  0.00
8 In 0.802 0.355 0.355  0.00

Space group: C2/m
E above lowest polymorph in meV/atom: 4
Energy of formation from the pure elements in kJ/mol of atoms: -21.9
DFT total energy in eV for the cell shown: -38.87

***

# 6
Entry from Alexandria via LeMat-Bulk: crystalline LaCe3In2 at its relaxed geometry (GGA-PBE).

Cell lengths 6.342, 6.342, 9.728 Å; angles 100.30, 123.45, 83.14 degrees
Last column: magnetic moment on the atom in μB.
Positions (direct):
1 Ce 0.355 0.291 0.491  0.55
2 Ce 0.700 0.136 0.991  0.55
3 La 0.174 0.424 0.750  0.06
4 In 0.745 0.612 0.873  -0.01
5 La 0.826 0.576 0.250  0.06
6 In 0.761 0.128 0.373  -0.01
7 Ce 0.645 0.709 0.509  0.55
8 Ce 0.820 0.070 0.750  0.51
9 Ce 0.180 0.930 0.250  0.51
10 In 0.255 0.388 0.127  -0.01
11 Ce 0.300 0.864 0.009  0.55
12 In 0.239 0.872 0.627  -0.01

Space group: C2/c
Energy of formation from the pure elements in kJ/mol of atoms: -21.0
DFT total energy in eV for the cell shown: -59.03

***

# 7
Entry from Alexandria via LeMat-Bulk: crystalline La6CeIn2 at its relaxed geometry (GGA-PBE).

Cell lengths 4.845, 8.532, 8.531 Å; angles 120.00, 90.00, 90.00 degrees
Positions (direct):
1 La 0.000 0.750 0.750
2 In 0.000 0.667 0.333
3 La 0.500 0.586 0.000
4 La 0.000 0.000 0.250
5 Ce 0.500 0.000 0.000
6 La 0.500 0.000 0.586
7 In 0.000 0.333 0.667
8 La 0.500 0.414 0.414
9 La 0.000 0.250 0.000

Space group: P-62m
Energy of formation from the pure elements in kJ/mol of atoms: -16.5
DFT total energy in eV for the cell shown: -42.52

***

# 8
Entry from Alexandria via LeMat-Bulk: crystalline La5CeIn6 at its relaxed geometry (GGA-PBE).

Cell lengths 5.589, 7.849, 9.686 Å; angles 66.10, 73.07, 90.00 degrees
Last column: magnetic moment on the atom in μB.
Positions (direct):
1 La 0.334 0.334 0.331  -0.01
2 La 0.666 0.666 0.669  -0.01
3 In 0.834 0.082 0.331  0.00
4 Ce 0.000 0.000 0.000  0.86
5 La 0.669 0.169 0.663  0.00
6 La 0.000 0.500 0.000  0.00
7 In 0.500 0.244 0.000  0.00
8 In 0.834 0.587 0.331  0.00
9 La 0.331 0.831 0.337  0.00
10 In 0.166 0.918 0.669  0.00
11 In 0.500 0.756 0.000  0.00
12 In 0.166 0.413 0.669  0.00

Space group: C2/m
Energy of formation from the pure elements in kJ/mol of atoms: -46.3
DFT total energy in eV for the cell shown: -52.75